[1]
## BaTa2CrBi (GGA-PBE)

Data for BaTa2CrBi after structural relaxation.

Cell: 5.1240 5.8804 5.1240 Å, 90.00 90.00 90.00°
Closest atoms and distances in Å follow each position.
Atoms (fractional coordinates):
Bi 0.0000 0.5000 0.0000  2 Ba 2.94
Ta 0.5000 0.0000 0.0000  2 Ba 2.56
Ta 0.0000 0.0000 0.5000  2 Ba 2.56
Cr 0.5000 0.5000 0.5000  4 Bi 3.62, 8 Ta 3.90
Ba 0.0000 0.0000 0.0000  4 Ta 2.56

For the volume, the calculation gives 154.4 Å³ per cell. The symmetry is No. 123. As for the formation energy: 3.363 eV per atom.



[2]
## Ba2VCrBi (GGA-PBE)

Data for Ba2VCrBi after structural relaxation.

Cell: 6.7687 5.2559 6.7687 Å, 90.00 90.00 90.00°
Closest atoms and distances in Å follow each position.
Atoms (fractional coordinates):
Ba 0.0000 0.0000 0.5000  2 Bi 3.38
Ba 0.5000 0.0000 0.0000  2 Bi 3.38
V 0.0000 0.5000 0.0000  2 Bi 2.63
Bi 0.0000 0.0000 0.0000  2 V 2.63
Cr 0.5000 0.5000 0.5000  8 Ba 4.28, 4 V 4.79

For the volume, the calculation gives 240.8 Å³ per cell. The symmetry is No. 123. As for the formation energy: 0.716 eV per atom.



Q: The lowest volume belongs to which entry?
A: BaTa2CrBi



Q: What is the volume in the second record?
A: 240.8 Å³ per cell



Q: The highest volume belongs to which entry?
A: Ba2VCrBi